# 1
Material: Co2CuMoPb
Method: DFT, GGA-PBE
State: relaxed

Geometry as POSCAR:
```
Co2CuMoPb
1.0
4.4493 0.0000 0.0000
0.0000 4.4493 0.0000
0.0000 0.0000 4.9174
Co Cu Mo Pb
2 1 1 1
Cartesian
0.0000 2.2246 0.0000
2.2246 0.0000 0.0000
0.0000 0.0000 2.4587
0.0000 0.0000 0.0000
2.2246 2.2246 2.4587
```

Summary:
ΔE_f in meV per atom: 1208
Electronic total energy in eV per atom: -5.3615
Total moment in μB per formula unit: 1.10
DOS(E_F) in states/eV per cell: 7.2



# 2
Material: RbCoCu2Mo
Method: DFT, GGA-PBE
State: relaxed

Geometry as POSCAR:
```
RbCoCu2Mo
1.0
4.8383 0.0000 0.0000
0.0000 4.8383 0.0000
0.0000 0.0000 5.0887
Rb Co Cu Mo
1 1 2 1
Cartesian
0.0000 0.0000 0.0000
2.4191 2.4191 2.5444
0.0000 2.4191 0.0000
2.4191 0.0000 0.0000
0.0000 0.0000 2.5444
```

Summary:
ΔE_f in meV per atom: 2843
Electronic total energy in eV per atom: -2.5762
Total moment in μB per formula unit: 4.68
DOS(E_F) in states/eV per cell: 9.3



# 3
Material: Co2CuSbMo
Method: DFT, GGA-PBE
State: relaxed

Geometry as POSCAR:
```
Co2CuSbMo
1.0
4.5765 0.0000 0.0000
0.0000 4.5765 0.0000
0.0000 0.0000 5.0047
Co Cu Sb Mo
2 1 1 1
Cartesian
0.0000 2.2883 0.0000
2.2883 0.0000 0.0000
0.0000 0.0000 2.5024
2.2883 2.2883 0.0000
2.2883 2.2883 2.5024
```

Summary:
Electronic total energy in eV per atom: -5.0107
E_form (uncorrected) in eV per atom: 1.642
Total moment in μB per formula unit: 3.77
DOS(E_F) in states/eV per cell: 6.0



# 4
Material: TiCoCu2Mo
Method: DFT, GGA-PBE
State: relaxed

Geometry as POSCAR:
```
TiCoCu2Mo
1.0
4.3614 0.0000 0.0000
0.0000 4.3614 0.0000
0.0000 0.0000 4.1251
Ti Co Cu Mo
1 1 2 1
Cartesian
0.0000 0.0000 0.0000
0.0000 0.0000 2.0626
0.0000 2.1807 2.0626
2.1807 0.0000 2.0626
2.1807 2.1807 0.0000
```

Summary:
ΔE_f in meV per atom: 912
Electronic total energy in eV per atom: -5.8927
Total moment in μB per formula unit: 1.42
DOS(E_F) in states/eV per cell: 4.5



# 5
Material: CoCu2MoW
Method: DFT, GGA-PBE
State: relaxed

Geometry as POSCAR:
```
CoCu2MoW
1.0
4.2637 0.0000 0.0000
0.0000 4.2637 0.0000
0.0000 0.0000 4.3088
Co Cu Mo W
1 2 1 1
Cartesian
0.0000 0.0000 0.0000
0.0000 2.1318 0.0000
2.1318 0.0000 0.0000
0.0000 0.0000 2.1544
2.1318 2.1318 2.1544
```

Summary:
ΔE_f in meV per atom: 1363
Electronic total energy in eV per atom: -6.4531
Total moment in μB per formula unit: 1.22
DOS(E_F) in states/eV per cell: 5.7



# 6
Material: CoCuN2
Method: DFT, GGA-PBE
State: relaxed

Geometry as POSCAR:
```
CoCuN2
1.0
0.0000 2.5476 2.5476
2.5476 0.0000 2.5476
2.5476 2.5476 0.0000
Co Cu N
1 1 2
Cartesian
0.0000 0.0000 0.0000
2.5476 2.5476 2.5476
1.2738 1.2738 1.2738
3.8214 3.8214 3.8214
```

Summary:
Electronic total energy in eV per atom: -5.7568
E_form (uncorrected) in eV per atom: 1.206
Total moment in μB per formula unit: 0.00
DOS(E_F) in states/eV per cell: 3.9